Entry 1:
A geometry-optimized ZrAlRh2 structure. Source: Alexandria via LeMat-Bulk, functional GGA-PBEsol.

Computed properties:
DFT formation energy	-0.90	eV/atom
magnetic moment	0.00	μB per atom

Cell lengths 3.0019, 3.0019, 6.7179 Å; angles 90.00, 90.00, 90.00 degrees
Space group P4/mmm (No. 123)
Symmetry-distinct sites (fractional):
Zr 0.0000 0.0000 0.0000 [1 per cell]
Al 0.0000 0.0000 0.5000 [1 per cell]
Rh 0.5000 0.5000 0.2782 [2 per cell]

---

Entry 2:
A geometry-optimized ZrAlRh2 structure. Source: Alexandria via LeMat-Bulk, functional GGA-PBEsol.

Computed properties:
DFT formation energy	-0.71	eV/atom
magnetic moment	0.00	μB per atom

Cell lengths 2.9907, 3.9420, 5.3387 Å; angles 90.00, 90.19, 90.00 degrees
Space group Pm (No. 6)
Symmetry-distinct sites (fractional):
Zr 0.0000 0.0000 0.0000 [1 per cell]
Al 0.5015 0.5000 0.3274 [1 per cell]
Rh 0.0012 0.0000 0.4781 [1 per cell]
Rh 0.4991 0.5000 0.8056 [1 per cell]

---

Entry 3:
A geometry-optimized ZrAlRh2 structure. Source: Alexandria via LeMat-Bulk, functional GGA-PBEsol.

Computed properties:
DFT formation energy	-0.95	eV/atom
magnetic moment	0.00	μB per atom

Cell lengths 6.2576, 6.2576, 6.2576 Å; angles 90.00, 90.00, 90.00 degrees
Space group Fm-3m (No. 225)
Symmetry-distinct sites (fractional):
Zr 0.0000 0.0000 0.0000 [4 per cell]
Al 0.0000 0.0000 0.5000 [4 per cell]
Rh 0.2500 0.2500 0.2500 [8 per cell]

---

Entry 4:
A geometry-optimized Al2Ru structure. Source: Alexandria via LeMat-Bulk, functional GGA-PBEsol.

Computed properties:
DFT formation energy	-0.60	eV/atom
magnetic moment	0.00	μB per atom

Cell lengths 3.1489, 12.6582, 4.1244 Å; angles 90.00, 90.00, 90.00 degrees
Space group Cmcm (No. 63)
Symmetry-distinct sites (fractional):
Al 0.0000 0.0666 0.2500 [4 per cell]
Al 0.0000 0.2559 0.7500 [4 per cell]
Ru 0.0000 0.4024 0.2500 [4 per cell]

---

Entry 5:
A geometry-optimized AlRu2 structure. Source: Alexandria via LeMat-Bulk, functional GGA-PBEsol.

Computed properties:
DFT formation energy	0.61	eV/atom
magnetic moment	0.00	μB per atom

Cell lengths 3.8940, 3.8940, 3.0386 Å; angles 90.00, 90.00, 90.00 degrees
Space group P4/mmm (No. 123)
Symmetry-distinct sites (fractional):
Al 0.0000 0.0000 0.0000 [1 per cell]
Ru 0.0000 0.5000 0.5000 [2 per cell]

---

Entry 6:
A geometry-optimized Al2Ru structure. Source: Alexandria via LeMat-Bulk, functional GGA-PBEsol.

Computed properties:
DFT formation energy	-0.66	eV/atom
magnetic moment	0.00	μB per atom

Cell lengths 3.1205, 3.1205, 8.4163 Å; angles 90.00, 90.00, 90.00 degrees
Space group I4/mmm (No. 139)
Symmetry-distinct sites (fractional):
Al 0.0000 0.0000 0.1593 [4 per cell]
Ru 0.0000 0.0000 0.5000 [2 per cell]

---

Entry 7:
A geometry-optimized Al2Ru structure. Source: Alexandria via LeMat-Bulk, functional GGA-PBEsol.

Computed properties:
DFT formation energy	-0.69	eV/atom
magnetic moment	0.00	μB per atom

Cell lengths 4.6993, 7.9715, 8.7684 Å; angles 90.00, 90.00, 90.00 degrees
Space group Fddd (No. 70, origin choice 2)
Symmetry-distinct sites (fractional):
Al 0.1250 0.2960 0.1250 [16 per cell]
Ru 0.1250 0.1250 0.6250 [8 per cell]

---

Entry 8:
A geometry-optimized Al2Ru structure. Source: Alexandria via LeMat-Bulk, functional GGA-PBEsol.

Computed properties:
DFT formation energy	-0.33	eV/atom
magnetic moment	0.00	μB per atom

Cell lengths 4.2915, 4.2915, 5.2620 Å; angles 90.00, 90.00, 120.00 degrees
Space group P6_3/mmc (No. 194)
Symmetry-distinct sites (fractional):
Al 0.0000 0.0000 0.0000 [2 per cell]
Al 0.3333 0.6667 0.2500 [2 per cell]
Ru 0.3333 0.6667 0.7500 [2 per cell]

---

Entry 9:
A geometry-optimized AlRu5 structure. Source: Alexandria via LeMat-Bulk, functional GGA-PBEsol.

Computed properties:
DFT formation energy	-0.11	eV/atom
magnetic moment	0.00	μB per atom

Cell lengths 9.7310, 2.7172, 6.2886 Å; angles 90.00, 104.30, 90.00 degrees
Space group Cm (No. 8)
Symmetry-distinct sites (fractional):
Al 0.0000 0.0000 0.0000 [2 per cell]
Ru 0.0516 0.0000 0.6051 [2 per cell]
Ru 0.1630 0.5000 0.3296 [2 per cell]
Ru 0.2222 0.5000 0.9317 [2 per cell]
Ru 0.3241 0.0000 0.6544 [2 per cell]
Ru 0.3792 0.0000 0.2763 [2 per cell]

---

Entry 10:
A geometry-optimized AlRu2 structure. Source: Alexandria via LeMat-Bulk, functional GGA-PBEsol.

Computed properties:
DFT formation energy	0.00	eV/atom
magnetic moment	0.00	μB per atom

Cell lengths 5.7599, 5.7599, 4.9358 Å; angles 90.00, 90.00, 90.00 degrees
Space group I4/mcm (No. 140)
Symmetry-distinct sites (fractional):
Al 0.0000 0.0000 0.2500 [4 per cell]
Ru 0.1493 0.3507 0.0000 [8 per cell]

---

Entry 11:
A geometry-optimized Al5Ru structure. Source: Alexandria via LeMat-Bulk, functional GGA-PBEsol.

Computed properties:
DFT formation energy	-0.29	eV/atom
magnetic moment	0.00	μB per atom

Cell lengths 4.7467, 4.7467, 4.5036 Å; angles 90.00, 90.00, 120.00 degrees
Space group P-62m (No. 189)
Symmetry-distinct sites (fractional):
Al 0.0000 0.6819 0.0000 [3 per cell]
Al 0.3333 0.6667 0.5000 [2 per cell]
Ru 0.0000 0.0000 0.5000 [1 per cell]

---

Entry 12:
A geometry-optimized Al2Ru structure. Source: Alexandria via LeMat-Bulk, functional GGA-PBEsol.

Computed properties:
DFT formation energy	-0.59	eV/atom
magnetic moment	0.00	μB per atom

Cell lengths 5.0366, 4.1284, 7.9603 Å; angles 90.00, 90.00, 90.00 degrees
Space group Pnma (No. 62)
Symmetry-distinct sites (fractional):
Al 0.1165 0.2500 0.2009 [4 per cell]
Al 0.1520 0.2500 0.5471 [4 per cell]
Ru 0.1525 0.2500 0.8729 [4 per cell]